Material: CaPrTl5
Method: DFT, PBE
State: optimized geometry Values from VASP.

Results
ΔH_f (0 K)   -0.162 eV per atom

Cell and atoms, written as Quantum ESPRESSO input:
```
&SYSTEM
  ibrav = 0, nat = 7, ntyp = 3
/
ATOMIC_SPECIES
Ca 40.08 Ca.upf
Pr 140.91 Pr.upf
Tl 204.38 Tl.upf
CELL_PARAMETERS angstrom
4.832 0.000 0.000
0.000 4.832 0.000
0.000 0.000 9.431
ATOMIC_POSITIONS angstrom
Ca 2.416 2.416 0.000
Pr 0.000 0.000 4.715
Tl 0.000 2.416 7.179
Tl 0.000 2.416 2.251
Tl 2.416 0.000 7.179
Tl 2.416 0.000 2.251
Tl 2.416 2.416 4.715
```

***

Material: CsZn2SnF
Method: DFT, PBE
State: optimized geometry Values from VASP.

Results
Calculated total energy   -6.1 eV per cell

Cell and atoms, written as Quantum ESPRESSO input:
```
&SYSTEM
  ibrav = 0, nat = 5, ntyp = 4
/
ATOMIC_SPECIES
Cs 132.91 Cs.upf
Zn 65.41 Zn.upf
Sn 118.71 Sn.upf
F 19.00 F.upf
CELL_PARAMETERS angstrom
-0.375 -4.813 4.300
-3.939 -3.496 -4.256
5.245 -2.737 -2.606
ATOMIC_POSITIONS angstrom
Cs 0.000 0.000 0.000
Zn 2.623 -1.369 -1.303
Zn -0.187 -2.406 2.150
Sn -1.969 -1.748 -2.128
F 0.466 -5.523 -1.281
```

***

Material: Ba2CdSn4Pt3
Method: DFT, PBE
State: optimized geometry Values from VASP.

Results
ΔH_f (0 K)   -0.699 eV per atom

Cell and atoms, written as Quantum ESPRESSO input:
```
&SYSTEM
  ibrav = 0, nat = 10, ntyp = 4
/
ATOMIC_SPECIES
Ba 137.33 Ba.upf
Cd 112.41 Cd.upf
Sn 118.71 Sn.upf
Pt 195.08 Pt.upf
CELL_PARAMETERS angstrom
-3.496 2.003 -2.619
-2.342 -4.196 -0.084
-5.365 2.808 9.310
ATOMIC_POSITIONS angstrom
Ba -3.091 1.705 1.021
Ba -5.193 0.007 6.938
Cd -5.601 0.308 3.303
Sn -2.919 -1.096 -1.351
Sn 0.000 0.000 0.000
Sn -5.169 2.792 4.627
Sn -3.115 -1.080 3.331
Pt -2.682 1.404 4.655
Pt -6.477 3.477 6.896
Pt -1.807 -1.765 1.062
```

***

Material: CrRuPt2
Method: DFT, PBE
State: optimized geometry Values from VASP.

Results
ΔH_f (0 K)   0.077 eV per atom

Cell and atoms, written as Quantum ESPRESSO input:
```
&SYSTEM
  ibrav = 0, nat = 4, ntyp = 3
/
ATOMIC_SPECIES
Cr 52.00 Cr.upf
Pt 195.08 Pt.upf
Ru 101.07 Ru.upf
CELL_PARAMETERS angstrom
-2.534 2.031 -0.377
-1.967 -2.191 1.421
1.064 2.246 4.936
ATOMIC_POSITIONS angstrom
Cr -1.460 1.589 4.190
Pt 1.051 2.218 4.875
Pt -1.979 0.494 1.783
Ru 0.547 1.153 2.535
```

***

Material: AlZn2Hg2
Method: DFT, PBE
State: optimized geometry Values from VASP.

Results
Energy above the lowest structure with this stoichiometry   0 meV/atom
ΔH_f (0 K)   0.171 eV per atom

Cell and atoms, written as Quantum ESPRESSO input:
```
&SYSTEM
  ibrav = 0, nat = 10, ntyp = 3
/
ATOMIC_SPECIES
Zn 65.41 Zn.upf
Hg 200.59 Hg.upf
Al 26.98 Al.upf
CELL_PARAMETERS angstrom
-1.255 3.428 5.885
-6.406 -2.627 0.165
1.418 -3.318 2.235
ATOMIC_POSITIONS angstrom
Zn -6.009 -1.020 2.298
Zn -5.146 1.305 5.203
Zn -1.652 1.821 3.752
Zn -2.514 -0.504 0.847
Hg -3.825 -2.833 2.251
Hg -5.429 -1.520 5.219
Hg -2.418 0.316 6.034
Hg -0.813 -0.997 3.066
Al 0.000 0.000 0.000
Al -3.830 0.401 3.025
```

***

Material: DyZn2Cd2
Method: DFT, PBE
State: optimized geometry Values from VASP.

Results
ΔH_f (0 K)   -0.225 eV per atom

Cell and atoms, written as Quantum ESPRESSO input:
```
&SYSTEM
  ibrav = 0, nat = 5, ntyp = 3
/
ATOMIC_SPECIES
Dy 162.50 Dy.upf
Zn 65.41 Zn.upf
Cd 112.41 Cd.upf
CELL_PARAMETERS angstrom
-1.793 2.347 3.012
1.511 -2.620 2.941
5.073 3.412 -2.593
ATOMIC_POSITIONS angstrom
Dy 0.000 0.000 0.000
Zn 0.854 0.524 3.054
Zn 3.937 2.614 0.306
Cd 1.570 2.811 1.698
Cd 3.222 0.327 1.662
```

***

Material: Dy2ErGa3
Method: DFT, PBE
State: optimized geometry Values from VASP.

Results
Energy above the lowest structure with this stoichiometry   0 meV/atom
ΔH_f (0 K)   -0.581 eV per atom

Cell and atoms, written as Quantum ESPRESSO input:
```
&SYSTEM
  ibrav = 0, nat = 12, ntyp = 3
/
ATOMIC_SPECIES
Dy 162.50 Dy.upf
Er 167.26 Er.upf
Ga 69.72 Ga.upf
CELL_PARAMETERS angstrom
5.030 0.000 0.000
-2.515 4.356 0.000
0.000 0.000 12.355
ATOMIC_POSITIONS angstrom
Dy 0.000 0.000 6.177
Dy 0.000 2.904 2.072
Dy 2.515 1.452 10.283
Dy 0.000 0.000 0.000
Er 0.000 2.904 8.237
Er 2.515 1.452 4.118
Ga 0.000 2.904 5.156
Ga 2.515 1.452 1.036
Ga 0.000 0.000 9.255
Ga 0.000 0.000 3.099
Ga 0.000 2.904 11.319
Ga 2.515 1.452 7.199
```

***

Material: Tb3NdTh2P6
Method: DFT, PBE
State: optimized geometry Values from VASP.

Results
ΔH_f (0 K)   -1.594 eV per atom

Cell and atoms, written as Quantum ESPRESSO input:
```
&SYSTEM
  ibrav = 0, nat = 12, ntyp = 4
/
ATOMIC_SPECIES
Tb 158.93 Tb.upf
Nd 144.24 Nd.upf
Th 232.04 Th.upf
P 30.97 P.upf
CELL_PARAMETERS angstrom
-1.002 -3.879 -0.868
1.458 -2.112 7.752
-8.127 4.145 0.540
ATOMIC_POSITIONS angstrom
Tb 0.228 -2.995 3.442
Tb -6.030 -0.815 0.925
Tb -1.642 -1.030 6.498
Nd -0.501 -1.939 -0.434
Th -5.297 -1.877 4.823
Th -2.374 0.031 2.601
P -4.375 -0.480 7.192
P -2.509 -2.445 4.142
P -3.297 -1.366 0.231
P -8.743 -0.278 1.655
P 1.072 -1.568 5.768
P -5.162 0.599 3.282
```

***

Material: Be4HgOs
Method: DFT, PBE
State: optimized geometry Values from VASP.

Results
ΔH_f (0 K)   0.167 eV per atom

Cell and atoms, written as Quantum ESPRESSO input:
```
&SYSTEM
  ibrav = 0, nat = 6, ntyp = 3
/
ATOMIC_SPECIES
Be 9.01 Be.upf
Hg 200.59 Hg.upf
Os 190.23 Os.upf
CELL_PARAMETERS angstrom
1.636 -2.874 3.090
-2.448 -3.588 1.273
1.277 -4.164 -1.234
ATOMIC_POSITIONS angstrom
Be 1.005 -5.424 2.739
Be 0.823 -6.080 0.540
Be -1.072 -5.787 1.815
Be 0.173 -3.962 1.167
Hg 0.349 -7.970 2.347
Os 0.000 0.000 0.000
```

***

Material: Mn2RuN2
Method: DFT, PBE
State: optimized geometry Values from VASP.

Results
Energy above the lowest structure with this stoichiometry   0 meV/atom

Cell and atoms, written as Quantum ESPRESSO input:
```
&SYSTEM
  ibrav = 0, nat = 10, ntyp = 3
/
ATOMIC_SPECIES
Ru 101.07 Ru.upf
Mn 54.94 Mn.upf
N 14.01 N.upf
CELL_PARAMETERS angstrom
-1.675 -2.419 -5.047
1.471 -5.273 2.039
-2.747 -0.349 1.079
ATOMIC_POSITIONS angstrom
Ru 0.000 0.000 0.000
Ru -0.102 -3.846 -1.504
Mn -0.670 -4.004 1.092
Mn -1.228 -6.214 -1.044
Mn -2.281 -4.037 -3.022
Mn -1.723 -1.827 -0.885
N 0.668 -5.161 0.032
N -0.399 -5.546 -2.810
N -0.873 -2.531 -3.041
N 0.195 -2.146 -0.198
```

***

Material: FeIrW4
Method: DFT, PBE
State: optimized geometry Values from VASP.

Results
ΔH_f (0 K)   0.553 eV per atom

Cell and atoms, written as Quantum ESPRESSO input:
```
&SYSTEM
  ibrav = 0, nat = 6, ntyp = 3
/
ATOMIC_SPECIES
Fe 55.84 Fe.upf
Ir 192.22 Ir.upf
W 183.84 W.upf
CELL_PARAMETERS angstrom
-1.601 0.258 4.919
1.236 4.099 2.914
-3.655 3.409 1.358
ATOMIC_POSITIONS angstrom
Fe -1.005 1.941 2.298
Ir 0.000 0.000 0.000
W -0.698 3.156 5.061
W -3.120 2.814 4.290
W -2.508 4.844 5.733
W -1.715 4.717 3.297
```

***

Material: Rb5V2Se6
Method: DFT, PBE
State: optimized geometry Values from VASP.

Results
Calculated total energy   -115.3 eV per cell

Cell and atoms, written as Quantum ESPRESSO input:
```
&SYSTEM
  ibrav = 0, nat = 26, ntyp = 3
/
ATOMIC_SPECIES
Rb 85.47 Rb.upf
V 50.94 V.upf
Se 78.96 Se.upf
CELL_PARAMETERS angstrom
-0.786 -7.513 2.475
-0.168 -5.478 -5.758
16.841 -5.177 -0.016
ATOMIC_POSITIONS angstrom
Rb 16.248 -11.336 0.533
Rb 7.762 -10.403 0.127
Rb -0.361 -6.833 -3.832
Rb 8.126 -7.767 -3.426
Rb 11.438 -14.501 -3.460
Rb 12.972 -5.917 -1.222
Rb 4.449 -3.668 0.160
Rb 2.915 -12.252 -2.077
Rb 12.226 -10.141 -2.618
Rb 3.661 -8.029 -0.682
V 9.215 -6.228 0.495
V 14.903 -15.152 -1.284
V 6.672 -11.941 -3.794
V 0.984 -3.017 -2.015
Se 10.414 -4.227 0.275
Se 13.817 -16.780 -2.572
Se 5.473 -13.942 -3.574
Se 2.070 -1.389 -0.727
Se 10.302 -7.984 -0.668
Se 13.931 -13.021 -1.641
Se 5.585 -10.186 -2.631
Se 1.956 -5.148 -1.658
Se 8.879 -12.208 -2.922
Se 15.509 -8.285 -1.455
Se 7.008 -5.961 -0.377
Se 0.378 -9.884 -1.844
```